NaCoRe2O8 | PBE+U | optimized geometry

Values from the calculation:
- Calculated density: 5.09 g cm⁻³
- Raw total energy: -7.48 eV per atom
- Calculated volume: 379.9 Å³ per cell

Cell lengths 9.091, 5.949, 7.026 Å; angles 90.00, 90.06, 90.00 degrees
Space group C2/m (No. 12)
Symmetry-distinct sites (fractional):
Na 0.000 0.000 0.000
Co 0.000 0.000 0.500
Re 0.149 0.500 0.259
O 0.038 0.255 0.281
O 0.214 0.000 0.565
O 0.235 0.500 0.036